(1)
# TbTlP2S8 (PBE, relaxed)
# Energy, eV/atom: -4.68
# Formation energy from raw total energies, kcal/mol of atoms: -10.21
data_TbTlP2S8
_chemical_formula_sum 'Tb3 Tl3 P6 S24'
_cell_length_a 6.1808
_cell_length_b 6.1808
_cell_length_c 27.4169
_cell_angle_alpha 90.00
_cell_angle_beta 90.00
_cell_angle_gamma 120.00
_space_group_name_H-M_alt 'R -3'
_space_group_IT_number 148
_space_group_name_Hall '-R 3'
loop_
_atom_site_label
_atom_site_type_symbol
_atom_site_fract_x
_atom_site_fract_y
_atom_site_fract_z
Tb1 Tb 0.0000 0.0000 0.0000
Tl1 Tl 0.0000 0.0000 0.5000
P1 P 0.0000 0.0000 0.2541
S1 S 0.0000 0.0000 0.1799
S2 S 0.0029 0.6302 0.0580


(2)
# Ti5Co4Rh (PBE, relaxed)
# Energy, eV/atom: -7.98
# ΔH_f (0 K), meV per atom: -454.5
data_Ti5Co4Rh
_chemical_formula_sum 'Ti5 Co4 Rh1'
_cell_length_a 2.9652
_cell_length_b 2.9652
_cell_length_c 15.3130
_cell_angle_alpha 90.00
_cell_angle_beta 90.00
_cell_angle_gamma 90.00
_space_group_name_H-M_alt 'P 4/m m m'
_space_group_IT_number 123
_space_group_name_Hall '-P 4 2'
loop_
_atom_site_label
_atom_site_type_symbol
_atom_site_fract_x
_atom_site_fract_y
_atom_site_fract_z
Ti1 Ti 0.0000 0.0000 0.0000
Ti2 Ti 0.0000 0.0000 0.1940
Ti3 Ti 0.0000 0.0000 0.3888
Co1 Co 0.5000 0.5000 0.0959
Co2 Co 0.5000 0.5000 0.2904
Rh1 Rh 0.5000 0.5000 0.5000


(3)
# BePAu (PBE, relaxed)
# Energy, eV/atom: -4.24
# ΔH_f (0 K), meV per atom: -105.3
data_BePAu
_chemical_formula_sum 'Be2 P2 Au2'
_cell_length_a 3.7646
_cell_length_b 4.7676
_cell_length_c 5.8405
_cell_angle_alpha 89.79
_cell_angle_beta 83.60
_cell_angle_gamma 89.66
_space_group_name_H-M_alt 'P 1'
_space_group_IT_number 1
loop_
_space_group_symop_operation_xyz
'x,y,z'
loop_
_atom_site_label
_atom_site_type_symbol
_atom_site_fract_x
_atom_site_fract_y
_atom_site_fract_z
Be1 Be 0.0000 0.0000 0.0000
Be2 Be 0.4941 0.9248 0.5031
P1 P 0.4650 0.0920 0.1608
P2 P 0.9613 0.8272 0.6616
Au1 Au 0.2651 0.4462 0.4409
Au2 Au 0.7643 0.4832 0.9508


(4)
# Ca3Cd3Au2 (PBE, relaxed)
# Energy, eV/atom: -2.47
# ΔH_f (0 K), meV per atom: -553.0
data_Ca3Cd3Au2
_chemical_formula_sum 'Ca3 Cd3 Au2'
_cell_length_a 7.7192
_cell_length_b 7.7192
_cell_length_c 4.0008
_cell_angle_alpha 90.00
_cell_angle_beta 90.00
_cell_angle_gamma 120.00
_space_group_name_H-M_alt 'P -6 2 m'
_space_group_IT_number 189
_space_group_name_Hall 'P -6 -2'
loop_
_atom_site_label
_atom_site_type_symbol
_atom_site_fract_x
_atom_site_fract_y
_atom_site_fract_z
Ca1 Ca 0.0000 0.4102 0.0000
Cd1 Cd 0.0000 0.7689 0.5000
Au1 Au 0.3333 0.6667 0.5000


(5)
# FePbAu (PBE, relaxed)
# Energy, eV/atom: -4.72
# ΔH_f (0 K), meV per atom: 432.4
data_FePbAu
_chemical_formula_sum 'Fe1 Pb1 Au1'
_cell_length_a 3.2349
_cell_length_b 3.2349
_cell_length_c 6.7460
_cell_angle_alpha 90.00
_cell_angle_beta 90.00
_cell_angle_gamma 120.00
_space_group_name_H-M_alt 'P 3 m 1'
_space_group_IT_number 156
loop_
_space_group_symop_operation_xyz
'x,y,z'
'-y,x-y,z'
'-x+y,-x,z'
'-y,-x,z'
'-x+y,y,z'
'x,x-y,z'
loop_
_atom_site_label
_atom_site_type_symbol
_atom_site_fract_x
_atom_site_fract_y
_atom_site_fract_z
Fe1 Fe 0.0000 0.0000 0.0000
Pb1 Pb 0.3333 0.6667 0.3365
Au1 Au 0.6667 0.3333 0.7205


(6)
# InIrI (PBE, relaxed)
# Energy, eV/atom: -4.21
# Formation energy from raw total energies, kcal/mol of atoms: 3.98
data_InIrI
_chemical_formula_sum 'In1 Ir1 I1'
_cell_length_a 3.1906
_cell_length_b 4.3713
_cell_length_c 5.5684
_cell_angle_alpha 90.00
_cell_angle_beta 90.00
_cell_angle_gamma 90.00
_space_group_name_H-M_alt 'P m m m'
_space_group_IT_number 47
loop_
_space_group_symop_operation_xyz
'x,y,z'
'-x,-y,-z'
'-x,-y,z'
'x,y,-z'
'x,-y,-z'
'-x,y,z'
'-x,y,-z'
'x,-y,z'
loop_
_atom_site_label
_atom_site_type_symbol
_atom_site_fract_x
_atom_site_fract_y
_atom_site_fract_z
In1 In 0.0000 0.0000 0.0000
Ir1 Ir 0.5000 0.5000 0.0000
I1 I 0.5000 0.5000 0.5000


Question: Number 1 is which compound?
Answer: TbTlP2S8